1.
The following is a PBE calculation of a relaxed LaY2Zn2 crystal, from Alexandria.

Computed properties:
- ρ (g cm⁻³) = 5.67
- formation energy (eV/atom) = -0.25
- SG = No. 11
- size of the total moment (μB/cell) = 0.000

abc: 3.6634 5.3142 13.5886
angles: 90.00 97.75 90.00
With the nearest neighbours (Å) after each atom.
Fractional coordinates of all 10 atoms:
La (0.1435, 0.2500, 0.2854)  6 Zn 3.20-3.23, 2 Y 3.57
La (0.8565, 0.7500, 0.7146)  6 Zn 3.20-3.23, 2 Y 3.57
Y (0.0469, 0.7500, 0.0940)  8 Zn 3.09-3.23
Y (0.2315, 0.7500, 0.4626)  2 Zn 3.08, 4 Y 3.38
Y (0.7685, 0.2500, 0.5374)  2 Zn 3.08, 4 Y 3.38
Y (0.9531, 0.2500, 0.9060)  8 Zn 3.09-3.23
Zn (0.3602, 0.2500, 0.7211)  4 Y 3.08-3.09, 4 La 3.23
Zn (0.4549, 0.7500, 0.9096)  6 Y 3.09-3.23, 2 La 3.20
Zn (0.5451, 0.2500, 0.0904)  6 Y 3.09-3.23, 2 La 3.20
Zn (0.6398, 0.7500, 0.2789)  4 Y 3.08-3.09, 4 La 3.23



2.
The following is a PBE calculation of a relaxed Ca2MgPt crystal, from Alexandria.

Computed properties:
- ρ (g cm⁻³) = 4.60
- formation energy (eV/atom) = -0.52
- SG = No. 38
- size of the total moment (μB/cell) = 0.000

abc: 4.3606 6.0594 6.0594
angles: 42.53 90.00 90.00
With the nearest neighbours (Å) after each atom.
Fractional coordinates of all 4 atoms:
Ca (0.0000, 0.0000, 0.0000)  3 Mg 3.16-3.38, 4 Pt 3.20
Ca (0.5000, 0.2907, 0.2907)  3 Pt 3.17-3.31, 4 Mg 3.26
Mg (0.0000, 0.7008, 0.7008)  2 Pt 2.62
Pt (0.5000, 0.5715, 0.5715)  2 Mg 2.62



3.
The following is a PBE calculation of a relaxed Pm2PrMg2 crystal, from Alexandria.

Computed properties:
- ρ (g cm⁻³) = 5.20
- formation energy (eV/atom) = -0.08
- SG = No. 11
- size of the total moment (μB/cell) = 0.000

abc: 3.8620 5.5830 14.3278
angles: 90.00 97.77 90.00
With the nearest neighbours (Å) after each atom.
Fractional coordinates of all 10 atoms:
Pm (0.0454, 0.2500, 0.0906)  8 Mg 3.33-3.40
Pm (0.2366, 0.2500, 0.4748)  2 Mg 3.35-3.36, 4 Pm 3.47
Pm (0.7634, 0.7500, 0.5252)  2 Mg 3.35-3.36, 4 Pm 3.47
Pm (0.9546, 0.7500, 0.9094)  8 Mg 3.33-3.40
Pr (0.1498, 0.7500, 0.2976)  6 Mg 3.38-3.40, 4 Pm 3.76-3.77
Pr (0.8502, 0.2500, 0.7024)  6 Mg 3.38-3.40, 4 Pm 3.76-3.77
Mg (0.3589, 0.7500, 0.7187)  4 Pm 3.33-3.36, 4 Pr 3.40
Mg (0.4502, 0.2500, 0.8980)  6 Pm 3.34-3.40, 2 Pr 3.38-3.39
Mg (0.5498, 0.7500, 0.1020)  6 Pm 3.34-3.40, 2 Pr 3.38-3.39
Mg (0.6411, 0.2500, 0.2813)  4 Pm 3.33-3.36, 4 Pr 3.40



4.
The following is a PBE calculation of a relaxed Ca2HoF8 crystal, from Alexandria.

Computed properties:
- ρ (g cm⁻³) = 4.90
- SG = No. 71
- energy relative to the elements, uncorrected (eV/atom) = -3.532
- size of the total moment (μB/cell) = 0.958

abc: 6.7773 6.7773 6.7773
angles: 146.73 127.15 63.89
With the nearest neighbours (Å) after each atom.
Fractional coordinates of all 11 atoms:
Ca (0.1860, 0.1860, 0.0000)  8 F 2.37-2.44
Ca (0.8140, 0.8140, 0.0000)  8 F 2.37-2.44
Ho (0.5000, 0.5000, 0.0000)  8 F 2.33-2.41
F (0.0802, 0.3421, 0.7382)  3 Ca 2.39-2.44, 1 Ho 2.41, 2 F 2.56
F (0.1676, 0.0000, 0.1676)  1 F 2.02
F (0.3878, 0.8878, 0.5000)  2 Ho 2.33, 7 F 2.38-2.58
F (0.3961, 0.6579, 0.7382)  3 Ca 2.39-2.44, 1 Ho 2.41, 2 F 2.56
F (0.6039, 0.3421, 0.2618)  3 Ca 2.39-2.44, 1 Ho 2.41, 2 F 2.56
F (0.6122, 0.1122, 0.5000)  2 Ho 2.33, 7 F 2.38-2.58
F (0.8324, 0.0000, 0.8324)  1 F 2.02
F (0.9198, 0.6579, 0.2618)  3 Ca 2.39-2.44, 1 Ho 2.41, 2 F 2.56



5.
The following is a PBE calculation of a relaxed TlFeAsCl6 crystal, from Alexandria.

Computed properties:
- ρ (g cm⁻³) = 3.44
- SG = No. 5
- energy relative to the elements, uncorrected (eV/atom) = -0.744
- size of the total moment (μB/cell) = 4.000

abc: 6.5465 6.5465 7.1227
angles: 90.07 90.07 120.00
With the nearest neighbours (Å) after each atom.
Fractional coordinates of all 9 atoms:
Tl (0.0000, 0.0000, 0.0000)  6 Cl 3.25-3.26
Fe (0.3333, 0.6667, 0.5000)  6 Cl 2.47-2.49
As (0.6670, 0.3330, 0.5000)  6 Cl 2.52-2.53
Cl (0.0060, 0.3756, 0.6992)  1 Fe 2.48, 1 As 2.53
Cl (0.0058, 0.6276, 0.3008)  1 Fe 2.47, 1 As 2.53
Cl (0.3724, 0.9942, 0.6992)  1 Fe 2.47, 1 As 2.53
Cl (0.3748, 0.3783, 0.2994)  1 Fe 2.49, 1 As 2.52
Cl (0.6217, 0.6252, 0.7006)  1 Fe 2.49, 1 As 2.52
Cl (0.6244, 0.9940, 0.3008)  1 Fe 2.48, 1 As 2.53



6.
The following is a PBE calculation of a relaxed Sr4In2Sn5 crystal, from Alexandria.

Computed properties:
- ρ (g cm⁻³) = 5.76
- formation energy (eV/atom) = -0.43
- SG = No. 10
- size of the total moment (μB/cell) = 0.000

abc: 8.4613 3.6696 10.9115
angles: 90.00 93.55 90.00
With the nearest neighbours (Å) after each atom.
Fractional coordinates of all 11 atoms:
Sr (0.1765, 0.0000, 0.3947)  8 Sn 3.43-3.65, 2 In 3.47, 2 Sr 3.67
Sr (0.2873, 0.0000, 0.9350)  6 Sn 3.48-3.62, 4 In 3.51, 3 Sr 3.67-3.79
Sr (0.7127, 0.0000, 0.0650)  6 Sn 3.48-3.62, 4 In 3.51, 3 Sr 3.67-3.79
Sr (0.8235, 0.0000, 0.6053)  8 Sn 3.43-3.65, 2 In 3.47, 2 Sr 3.67
In (0.0600, 0.5000, 0.1347)  1 In 3.05, 2 Sn 3.13-3.15
In (0.9400, 0.5000, 0.8653)  1 In 3.05, 2 Sn 3.13-3.15
Sn (0.1932, 0.5000, 0.6684)  1 In 3.13, 2 Sn 3.27-3.41, 4 Sr 3.49-3.50
Sn (0.4267, 0.5000, 0.2071)  1 In 3.15, 2 Sn 3.22-3.41, 2 Sr 3.48
Sn (0.5000, 0.5000, 0.5000)  4 Sn 3.22-3.27, 4 Sr 3.43
Sn (0.5733, 0.5000, 0.7929)  1 In 3.15, 2 Sn 3.22-3.41, 2 Sr 3.48
Sn (0.8068, 0.5000, 0.3316)  1 In 3.13, 2 Sn 3.27-3.41, 4 Sr 3.49-3.50



no.,electronic total energy (eV/atom)
1,-4.334
2,-3.433
3,-3.574
4,-5.673
5,-3.695
6,-3.356